(1)
First-principles (PBE) data for an optimized crystal structure of CaLaMn2, as listed in Alexandria.

Unit cell a=9.9350 b=3.4104 c=6.5616 alpha=90.00 beta=103.59 gamma=90.00
Space group C2/m (No. 12)
One atom of each set of equivalent atoms:
Ca  0.0000  0.0000  0.0000 (multiplicity 2)
La  0.0000  0.5000  0.5000 (multiplicity 2)
Mn  0.2473  0.5000  0.3243 (multiplicity 4)

Summary:
Final energy = -45.7 eV/cell

***

(2)
First-principles (PBE) data for an optimized crystal structure of Pr2ZrCuSe5, as listed in Alexandria.

Unit cell a=4.0001 b=17.6386 c=12.1340 alpha=90.00 beta=90.00 gamma=90.00
Space group Cmc2_1 (No. 36)
One atom of each set of equivalent atoms:
Pr  0.0000  0.1153  0.0000 (multiplicity 4)
Pr  0.0000  0.1249  0.6245 (multiplicity 4)
Zr  0.0000  0.1864  0.3215 (multiplicity 4)
Cu  0.0000  0.4320  0.7466 (multiplicity 4)
Se  0.0000  0.0416  0.3533 (multiplicity 4)
Se  0.0000  0.2916  0.9777 (multiplicity 4)
Se  0.0000  0.3054  0.6623 (multiplicity 4)
Se  0.0000  0.3482  0.3144 (multiplicity 4)
Se  0.0000  0.4970  0.0768 (multiplicity 4)

Summary:
Formation energy from raw total energies = -1451.6 meV per atom

***

(3)
First-principles (PBE) data for an optimized crystal structure of Na2NbAu, as listed in Alexandria.

Unit cell a=7.0752 b=7.0752 c=7.0752 alpha=90.00 beta=90.00 gamma=90.00
Space group Fm-3m (No. 225)
One atom of each set of equivalent atoms:
Na  0.2500  0.2500  0.2500 (multiplicity 8)
Nb  0.0000  0.0000  0.0000 (multiplicity 4)
Au  0.0000  0.0000  0.5000 (multiplicity 4)

Summary:
Relative energy among the computed polymorphs = 31 meV per atom

***

(4)
First-principles (PBE) data for an optimized crystal structure of RbLi2HgP, as listed in Alexandria.

Unit cell a=4.9174 b=4.9174 c=6.5957 alpha=90.00 beta=90.00 gamma=90.00
Space group P4/mmm (No. 123)
One atom of each set of equivalent atoms:
Rb  0.0000  0.0000  0.0000 (multiplicity 1)
Li  0.0000  0.5000  0.5000 (multiplicity 2)
Hg  0.5000  0.5000  0.0000 (multiplicity 1)
P  0.0000  0.0000  0.5000 (multiplicity 1)

Summary:
Final energy = -11.9 eV/cell

***

(5)
First-principles (PBE) data for an optimized crystal structure of Ir6RuRh3, as listed in Alexandria.

Unit cell a=10.0012 b=2.7238 c=10.9306 alpha=90.00 beta=101.27 gamma=90.00
Space group P2_1/m (No. 11)
One atom of each set of equivalent atoms:
Ir  0.0017  0.2500  0.3078 (multiplicity 2)
Ir  0.1557  0.2500  0.8727 (multiplicity 2)
Ir  0.2365  0.7500  0.2999 (multiplicity 2)
Ir  0.2797  0.7500  0.7132 (multiplicity 2)
Ir  0.3079  0.7500  0.0741 (multiplicity 2)
Ir  0.3808  0.2500  0.5149 (multiplicity 2)
Ru  0.4582  0.2500  0.2788 (multiplicity 2)
Rh  0.0819  0.2500  0.0959 (multiplicity 2)
Rh  0.1232  0.7500  0.5018 (multiplicity 2)
Rh  0.4281  0.2500  0.9001 (multiplicity 2)

Summary:
Relative energy among the computed polymorphs = 0 meV per atom

***

(6)
First-principles (PBE) data for an optimized crystal structure of Er2ScAl, as listed in Alexandria.

Unit cell a=3.3439 b=3.3439 c=33.4153 alpha=90.00 beta=90.00 gamma=120.00
Space group R-3m (No. 166, hexagonal axes)
One atom of each set of equivalent atoms:
Er  0.0000  0.0000  0.0968 (multiplicity 6)
Sc  0.0000  0.0000  0.0000 (multiplicity 3)
Al  0.0000  0.0000  0.5000 (multiplicity 3)

Summary:
Relative energy among the computed polymorphs = 342 meV per atom

***

Sequential Fermi-level density of states output: 1.15, 0.13, 0.76, 0.03, 1.22, 1.17 states/eV per atom